one | Compound: Rb2MnI
Source: the Alexandria database
Functional: PBE
Structure: optimized geometry

```
data_Rb2MnI
_chemical_formula_sum 'Rb8 Mn4 I4'
_space_group_name_H-M_alt 'F m -3 m'
_space_group_IT_number 225
_space_group_name_Hall '-F 4 2 3'
_cell_length_a 9.111
_cell_length_b 9.111
_cell_length_c 9.111
_cell_angle_alpha 90.00
_cell_angle_beta 90.00
_cell_angle_gamma 90.00
loop_
_atom_site_label
_atom_site_type_symbol
_atom_site_fract_x
_atom_site_fract_y
_atom_site_fract_z
Rb1 Rb 0.250 0.250 0.250
Mn1 Mn 0.000 0.000 0.000
I1 I 0.000 0.000 0.500
```

two | Compound: Rb2MnI
Source: the Alexandria database
Functional: PBE
Structure: optimized geometry

```
data_Rb2MnI
_chemical_formula_sum 'Rb8 Mn4 I4'
_space_group_name_H-M_alt 'I -4 2 d'
_space_group_IT_number 122
_space_group_name_Hall 'I -4 2bw'
_cell_length_a 9.821
_cell_length_b 9.821
_cell_length_c 9.261
_cell_angle_alpha 90.00
_cell_angle_beta 90.00
_cell_angle_gamma 90.00
loop_
_atom_site_label
_atom_site_type_symbol
_atom_site_fract_x
_atom_site_fract_y
_atom_site_fract_z
Rb1 Rb 0.237 0.750 0.125
Mn1 Mn 0.000 0.000 0.500
I1 I 0.000 0.000 0.000
```

Looking at the structures above, which would you pick as the most stable? I would pick one.